No. 1
K2PW: optimized geometry, GGA-PBE.

Computed properties:
Raw total energy   -4.49 eV per atom
Energy above the lowest structure with this stoichiometry   299 meV/atom
Density   2.53 g cm⁻³

a = 12.816 Å, b = 12.816 Å, c = 4.682 Å
α = 90.00°, β = 90.00°, γ = 90.00°
Positions (direct):
1 K 0.027 0.250 0.125
2 K 0.250 0.527 0.375
3 K 0.250 0.973 0.875
4 K 0.473 0.250 0.625
5 K 0.527 0.750 0.625
6 K 0.750 0.027 0.875
7 K 0.750 0.473 0.375
8 K 0.973 0.750 0.125
9 P 0.000 0.000 0.000
10 P 0.000 0.500 0.250
11 P 0.500 0.000 0.750
12 P 0.500 0.500 0.500
13 W 0.000 0.000 0.500
14 W 0.000 0.500 0.750
15 W 0.500 0.000 0.250
16 W 0.500 0.500 0.000

No. 2
Ce2Ni2Pt: optimized geometry, GGA-PBE.

Computed properties:
Raw total energy   -6.53 eV per atom
Density   10.30 g cm⁻³

a = 3.815 Å, b = 13.833 Å, c = 3.622 Å
α = 90.00°, β = 90.00°, γ = 90.00°
Positions (direct):
1 Ce 0.000 0.125 0.000
2 Ce 0.000 0.875 0.000
3 Ce 0.500 0.375 0.000
4 Ce 0.500 0.625 0.000
5 Ni 0.000 0.308 0.500
6 Ni 0.000 0.692 0.500
7 Ni 0.500 0.192 0.500
8 Ni 0.500 0.808 0.500
9 Pt 0.000 0.500 0.500
10 Pt 0.500 0.000 0.500

No. 3
KPuI4: optimized geometry, GGA-PBE.

Computed properties:
Raw total energy   -4.78 eV per atom
Density   4.39 g cm⁻³
Energy relative to the elements, uncorrected   -1.172 eV/atom

a = 11.984 Å, b = 11.984 Å, c = 8.346 Å
α = 90.00°, β = 90.00°, γ = 150.05°
Positions (direct):
1 K 0.181 0.819 0.500
2 K 0.819 0.181 0.000
3 Pu 0.408 0.592 0.421
4 Pu 0.592 0.408 0.921
5 I 0.090 0.910 0.903
6 I 0.297 0.703 0.221
7 I 0.340 0.660 0.729
8 I 0.472 0.528 0.090
9 I 0.528 0.472 0.590
10 I 0.660 0.340 0.229
11 I 0.703 0.297 0.721
12 I 0.910 0.090 0.403

No. 4
RbScClF3: optimized geometry, GGA-PBE.

Computed properties:
Raw total energy   -5.56 eV per atom
Density   2.75 g cm⁻³
Energy relative to the elements, uncorrected   -3.102 eV/atom

a = 9.412 Å, b = 9.412 Å, c = 5.435 Å
α = 101.77°, β = 101.77°, γ = 137.49°
Positions (direct):
1 Rb 0.089 0.911 0.750
2 Rb 0.911 0.089 0.250
3 Sc 0.300 0.700 0.250
4 Sc 0.700 0.300 0.750
5 Cl 0.337 0.663 0.750
6 Cl 0.663 0.337 0.250
7 F 0.063 0.660 0.963
8 F 0.340 0.937 0.537
9 F 0.410 0.590 0.250
10 F 0.590 0.410 0.750
11 F 0.660 0.063 0.463
12 F 0.937 0.340 0.037

No. 5
TmSi3NiRh: optimized geometry, GGA-PBE.

Computed properties:
Raw total energy   -6.10 eV per atom
Density   6.38 g cm⁻³
Energy relative to the elements, uncorrected   -0.457 eV/atom

a = 7.212 Å, b = 7.212 Å, c = 5.429 Å
α = 90.00°, β = 90.00°, γ = 130.10°
Positions (direct):
1 Tm 0.188 0.812 0.750
2 Tm 0.812 0.188 0.250
3 Si 0.215 0.785 0.250
4 Si 0.286 0.286 0.000
5 Si 0.286 0.286 0.500
6 Si 0.714 0.714 0.000
7 Si 0.714 0.714 0.500
8 Si 0.785 0.215 0.750
9 Ni 0.048 0.952 0.250
10 Ni 0.952 0.048 0.750
11 Rh 0.386 0.614 0.250
12 Rh 0.614 0.386 0.750

No. 6
BRh3Pb: optimized geometry, GGA-PBE.

Computed properties:
Raw total energy   -5.78 eV per atom
Energy above the lowest structure with this stoichiometry   930 meV/atom
Density   8.09 g cm⁻³

a = 10.740 Å, b = 10.740 Å, c = 10.740 Å
α = 155.29°, β = 155.29°, γ = 35.23°
Positions (direct):
1 B 0.110 0.110 0.000
2 B 0.890 0.890 0.000
3 Rh 0.104 0.604 0.500
4 Rh 0.119 0.374 0.745
5 Rh 0.396 0.896 0.500
6 Rh 0.626 0.371 0.745
7 Rh 0.626 0.881 0.255
8 Rh 0.629 0.374 0.255
9 Pb 0.500 0.500 0.000
10 Pb 0.750 0.250 0.500

No. 7
SrAcIr: optimized geometry, GGA-PBE.

Computed properties:
Raw total energy   -5.27 eV per atom
Energy above the lowest structure with this stoichiometry   1 meV/atom
Density   7.34 g cm⁻³

a = 4.373 Å, b = 4.373 Å, c = 6.925 Å
α = 90.00°, β = 90.00°, γ = 120.00°
Positions (direct):
1 Sr 0.000 0.000 0.000
2 Ac 0.667 0.333 0.455
3 Ir 0.333 0.667 0.249

No. 8
RbPmAuI5: optimized geometry, GGA-PBE.

Computed properties:
Raw total energy   -3.17 eV per atom
Density   4.11 g cm⁻³
Energy relative to the elements, uncorrected   -1.081 eV/atom

a = 9.531 Å, b = 9.531 Å, c = 11.536 Å
α = 93.16°, β = 93.16°, γ = 124.35°
Positions (direct):
1 Rb 0.006 0.994 0.750
2 Rb 0.994 0.006 0.250
3 Pm 0.500 0.500 0.000
4 Pm 0.500 0.500 0.500
5 Au 0.363 0.637 0.250
6 Au 0.637 0.363 0.750
7 I 0.112 0.290 0.012
8 I 0.158 0.457 0.403
9 I 0.290 0.112 0.512
10 I 0.421 0.579 0.750
11 I 0.457 0.158 0.903
12 I 0.543 0.842 0.097
13 I 0.579 0.421 0.250
14 I 0.710 0.888 0.488
15 I 0.842 0.543 0.597
16 I 0.888 0.710 0.988

No. 9
Pt8Au: optimized geometry, GGA-PBE.

Computed properties:
Raw total energy   -5.73 eV per atom
Energy above the lowest structure with this stoichiometry   0 meV/atom
Density   20.37 g cm⁻³

a = 7.510 Å, b = 7.510 Å, c = 7.510 Å
α = 158.53°, β = 111.27°, γ = 72.94°
Positions (direct):
1 Pt 0.164 0.832 0.333
2 Pt 0.166 0.166 0.000
3 Pt 0.166 0.500 0.666
4 Pt 0.499 0.832 0.667
5 Pt 0.501 0.168 0.333
6 Pt 0.834 0.500 0.334
7 Pt 0.834 0.834 0.000
8 Pt 0.836 0.168 0.667
9 Au 0.500 0.500 0.000

No. 10
Ba5Nd3Te8: optimized geometry, GGA-PBE.

Computed properties:
Raw total energy   -4.68 eV per atom
Density   5.72 g cm⁻³
Energy relative to the elements, uncorrected   -1.616 eV/atom

a = 9.637 Å, b = 9.637 Å, c = 9.637 Å
α = 59.18°, β = 59.18°, γ = 59.18°
Positions (direct):
1 Ba 0.000 0.000 0.000
2 Ba 0.000 0.500 0.500
3 Ba 0.500 0.000 0.500
4 Ba 0.500 0.500 0.000
5 Ba 0.500 0.500 0.500
6 Nd 0.000 0.000 0.500
7 Nd 0.000 0.500 0.000
8 Nd 0.500 0.000 0.000
9 Te 0.230 0.750 0.750
10 Te 0.241 0.241 0.241
11 Te 0.250 0.250 0.770
12 Te 0.250 0.770 0.250
13 Te 0.750 0.230 0.750
14 Te 0.750 0.750 0.230
15 Te 0.759 0.759 0.759
16 Te 0.770 0.250 0.250

No. 11
Hg4SbAu: optimized geometry, GGA-PBE.

Computed properties:
Raw total energy   -1.08 eV per atom
Density   12.45 g cm⁻³
Energy relative to the elements, uncorrected   0.358 eV/atom

a = 5.958 Å, b = 5.958 Å, c = 5.958 Å
α = 60.00°, β = 60.00°, γ = 60.00°
Positions (direct):
1 Hg 0.125 0.125 0.125
2 Hg 0.125 0.125 0.624
3 Hg 0.125 0.624 0.125
4 Hg 0.624 0.125 0.125
5 Sb 0.750 0.750 0.750
6 Au 0.500 0.500 0.500